[1]
Material: HoPaCoTc
Method: DFT, GGA-PBE
State: optimized geometry

Fermi-level density of states: 8.912 states/eV per cell
E_tot: -128.45 eV per cell
formation energy: -142 meV per atom

Cell and atoms, written as CIF:
```
data_HoPaCoTc
_chemical_formula_sum 'Ho4 Pa4 Co4 Tc4'
_cell_length_a 6.7661
_cell_length_b 6.7661
_cell_length_c 6.7661
_cell_angle_alpha 90.00
_cell_angle_beta 90.00
_cell_angle_gamma 90.00
_space_group_name_H-M_alt 'F -4 3 m'
_space_group_IT_number 216
_space_group_name_Hall 'F -4 2 3'
loop_
_atom_site_label
_atom_site_fract_x
_atom_site_fract_y
_atom_site_fract_z
Ho1 0.0000 0.0000 0.0000
Pa1 0.0000 0.0000 0.5000
Co1 0.2500 0.2500 0.7500
Tc1 0.2500 0.2500 0.2500
```

***

[2]
Material: BiAsPb2
Method: DFT, GGA-PBE
State: optimized geometry

Fermi-level density of states: 5.837 states/eV per cell
E above lowest polymorph: 21 meV/atom
E_tot: -46.97 eV per cell
formation energy: 72 meV per atom

Cell and atoms, written as CIF:
```
data_BiAsPb2
_chemical_formula_sum 'Bi3 As3 Pb6'
_cell_length_a 4.1837
_cell_length_b 4.1837
_cell_length_c 24.5155
_cell_angle_alpha 90.00
_cell_angle_beta 90.00
_cell_angle_gamma 120.00
_space_group_name_H-M_alt 'R -3 m'
_space_group_IT_number 166
_space_group_name_Hall '-R 3 2"'
loop_
_atom_site_label
_atom_site_fract_x
_atom_site_fract_y
_atom_site_fract_z
Bi1 0.0000 0.0000 0.0000
As1 0.0000 0.0000 0.5000
Pb1 0.0000 0.0000 0.2368
```